Entry 1:
A plane-wave DFT calculation with PBE-GGA was carried out for a relaxed Ba8PtAu3I4 crystal.

a = 9.442 Å, b = 10.375 Å, c = 9.440 Å
α = 117.08°, β = 120.00°, γ = 90.00°
Fractional positions:
1 Au 0.500 0.500 0.500
2 Au 0.000 0.500 0.500
3 Au 0.500 0.500 0.000
4 I 0.000 0.000 0.500
5 I 0.500 0.000 0.500
6 I 0.000 0.000 0.000
7 I 0.500 0.000 0.000
8 Ba 0.254 0.296 0.025
9 Ba 0.230 0.704 0.975
10 Ba 0.736 0.709 0.473
11 Ba 0.746 0.704 0.975
12 Ba 0.230 0.705 0.459
13 Ba 0.770 0.295 0.541
14 Ba 0.770 0.296 0.025
15 Ba 0.264 0.291 0.527
16 Pt 0.000 0.500 0.000

## Properties
symmetry	No. 166
DFT total energy	-3.433	eV/atom



Entry 2:
A plane-wave DFT calculation with PBE-GGA was carried out for a relaxed Ba6Pt2AuI2 crystal.

a = 8.120 Å, b = 8.120 Å, c = 9.148 Å
α = 98.36°, β = 98.36°, γ = 120.20°
Fractional positions:
1 Ba 0.412 0.062 0.699
2 Ba 0.279 0.279 0.303
3 Ba 0.062 0.412 0.699
4 Ba 0.588 0.938 0.301
5 Ba 0.938 0.588 0.301
6 Ba 0.721 0.721 0.697
7 Pt 0.668 0.332 0.500
8 Pt 0.332 0.668 0.500
9 I 0.163 0.837 0.000
10 I 0.837 0.163 0.000
11 Au 0.000 0.000 0.500

## Properties
symmetry	No. 12
DFT total energy	-3.686	eV/atom



Entry 3:
A plane-wave DFT calculation with PBE-GGA was carried out for a relaxed Ba8Pt3AuI3 crystal.

a = 9.354 Å, b = 9.356 Å, c = 10.187 Å
α = 117.36°, β = 90.00°, γ = 120.00°
Fractional positions:
1 I 0.000 0.000 0.000
2 I 0.500 0.500 0.000
3 I 0.000 0.500 0.000
4 Ba 0.239 0.963 0.702
5 Ba 0.732 0.465 0.698
6 Ba 0.239 0.478 0.702
7 Ba 0.268 0.535 0.302
8 Ba 0.761 0.522 0.298
9 Ba 0.761 0.037 0.298
10 Ba 0.724 0.963 0.702
11 Ba 0.276 0.037 0.298
12 Pt 0.500 0.500 0.500
13 Pt 0.000 0.500 0.500
14 Pt 0.500 0.000 0.500
15 Au 0.000 0.000 0.500

## Properties
symmetry	No. 166
DFT total energy	-3.766	eV/atom



Entry 4:
A plane-wave DFT calculation with PBE-GGA was carried out for a relaxed Rb2BaAu2I6 crystal.

a = 8.944 Å, b = 7.627 Å, c = 10.357 Å
α = 104.78°, β = 90.00°, γ = 125.90°
Fractional positions:
1 Ba 0.500 0.000 0.500
2 Au 0.978 0.957 0.719
3 Au 0.022 0.043 0.281
4 Rb 0.303 0.607 0.864
5 Rb 0.697 0.393 0.136
6 I 0.776 0.553 0.502
7 I 0.224 0.447 0.498
8 I 0.336 0.119 0.802
9 I 0.783 0.119 0.802
10 I 0.664 0.881 0.198
11 I 0.217 0.881 0.198

## Properties
symmetry	No. 12
DFT total energy	-2.780	eV/atom



Entry 5:
A plane-wave DFT calculation with PBE-GGA was carried out for a relaxed Rb2BaAuI6 crystal.

a = 9.065 Å, b = 9.065 Å, c = 8.846 Å
α = 59.18°, β = 59.18°, γ = 90.00°
Fractional positions:
1 I 0.761 0.761 0.000
2 I 0.761 0.239 0.000
3 I 0.225 0.225 0.550
4 I 0.239 0.761 0.000
5 I 0.775 0.775 0.450
6 I 0.239 0.239 0.000
7 Rb 0.250 0.750 0.500
8 Rb 0.750 0.250 0.500
9 Ba 0.500 0.500 0.000
10 Au 0.000 0.000 0.000

## Properties
symmetry	No. 139
DFT total energy	-2.646	eV/atom



Entry 6:
A plane-wave DFT calculation with PBE-GGA was carried out for a relaxed Ba6RhAu2I3 crystal.

a = 8.138 Å, b = 8.138 Å, c = 9.180 Å
α = 98.49°, β = 98.49°, γ = 119.96°
Fractional positions:
1 Ba 0.619 0.932 0.795
2 Ba 0.381 0.068 0.205
3 Ba 0.932 0.619 0.795
4 Ba 0.756 0.756 0.206
5 Ba 0.068 0.381 0.205
6 Ba 0.244 0.244 0.794
7 I 0.168 0.832 0.500
8 I 0.832 0.168 0.500
9 I 0.500 0.500 0.500
10 Au 0.666 0.334 0.000
11 Au 0.334 0.666 0.000
12 Rh 0.000 0.000 0.000

## Properties
symmetry	No. 12
DFT total energy	-3.503	eV/atom



Entry 7:
A plane-wave DFT calculation with PBE-GGA was carried out for a relaxed Ba6RhAu2I crystal.

a = 8.033 Å, b = 8.905 Å, c = 12.214 Å
α = 90.00°, β = 89.47°, γ = 90.00°
Fractional positions:
1 Ba 0.692 0.341 0.921
2 Ba 0.647 0.299 0.583
3 Ba 0.837 0.559 0.229
4 Ba 0.147 0.201 0.083
5 Ba 0.663 0.059 0.271
6 Ba 0.808 0.841 0.579
7 Ba 0.353 0.701 0.417
8 Ba 0.192 0.159 0.421
9 Ba 0.337 0.941 0.729
10 Ba 0.163 0.441 0.771
11 Ba 0.308 0.659 0.079
12 Ba 0.853 0.799 0.917
13 Au 0.555 0.612 0.746
14 Au 0.945 0.112 0.754
15 Au 0.055 0.888 0.246
16 Au 0.445 0.388 0.254
17 Rh 0.000 0.500 0.000
18 Rh 0.500 0.000 0.500
19 I 0.000 0.500 0.500
20 I 0.500 0.000 0.000

## Properties
symmetry	No. 14
DFT total energy	-3.299	eV/atom



Entry 8:
A plane-wave DFT calculation with PBE-GGA was carried out for a relaxed Ba4RhAuI2 crystal.

a = 4.659 Å, b = 8.123 Å, c = 9.108 Å
α = 106.75°, β = 90.00°, γ = 90.00°
Fractional positions:
1 I 0.500 0.000 0.500
2 I 0.000 0.500 0.500
3 Rh 0.500 0.500 0.000
4 Ba 0.000 0.281 0.799
5 Ba 0.500 0.254 0.206
6 Ba 0.500 0.746 0.794
7 Ba 0.000 0.719 0.201
8 Au 0.000 0.000 0.000

## Properties
symmetry	No. 10
DFT total energy	-3.617	eV/atom



Entry 9:
A plane-wave DFT calculation with PBE-GGA was carried out for a relaxed Ba6Rh2AuI3 crystal.

a = 8.072 Å, b = 8.072 Å, c = 9.067 Å
α = 98.54°, β = 98.54°, γ = 119.98°
Fractional positions:
1 I 0.838 0.162 0.500
2 I 0.500 0.500 0.500
3 I 0.162 0.838 0.500
4 Rh 0.333 0.667 0.000
5 Rh 0.667 0.333 0.000
6 Ba 0.577 0.933 0.797
7 Ba 0.711 0.711 0.201
8 Ba 0.423 0.067 0.203
9 Ba 0.933 0.577 0.797
10 Ba 0.067 0.423 0.203
11 Ba 0.289 0.289 0.799
12 Au 0.000 0.000 0.000

## Properties
symmetry	No. 12
DFT total energy	-3.747	eV/atom



Entry 10:
A plane-wave DFT calculation with PBE-GGA was carried out for a relaxed Ba8Au3SI4 crystal.

a = 9.481 Å, b = 10.326 Å, c = 9.481 Å
α = 117.35°, β = 120.00°, γ = 90.00°
Fractional positions:
1 Ba 0.767 0.294 0.027
2 Ba 0.233 0.706 0.466
3 Ba 0.735 0.705 0.470
4 Ba 0.740 0.706 0.973
5 Ba 0.767 0.294 0.534
6 Ba 0.233 0.706 0.973
7 Ba 0.260 0.294 0.027
8 Ba 0.265 0.295 0.530
9 Au 0.000 0.500 0.500
10 Au 0.500 0.500 0.500
11 Au 0.500 0.500 0.000
12 I 0.000 0.000 0.000
13 I 0.000 0.000 0.500
14 I 0.500 0.000 0.000
15 I 0.500 0.000 0.500
16 S 0.000 0.500 0.000

## Properties
symmetry	No. 166
DFT total energy	-3.430	eV/atom



Entry 11:
A plane-wave DFT calculation with PBE-GGA was carried out for a relaxed Ba2AuS2I2 crystal.

a = 4.956 Å, b = 4.956 Å, c = 10.023 Å
α = 104.31°, β = 104.31°, γ = 90.00°
Fractional positions:
1 I 0.813 0.813 0.626
2 I 0.187 0.187 0.374
3 Au 0.000 0.000 0.000
4 Ba 0.614 0.614 0.227
5 Ba 0.386 0.386 0.773
6 S 0.500 0.000 0.000
7 S 0.000 0.500 0.000

## Properties
symmetry	No. 139
DFT total energy	-4.010	eV/atom



Entry 12:
A plane-wave DFT calculation with PBE-GGA was carried out for a relaxed Ba6Au2SI3 crystal.

a = 8.215 Å, b = 8.215 Å, c = 9.088 Å
α = 98.65°, β = 98.65°, γ = 119.99°
Fractional positions:
1 Au 0.667 0.333 0.000
2 Au 0.333 0.667 0.000
3 I 0.166 0.834 0.500
4 I 0.500 0.500 0.500
5 I 0.834 0.166 0.500
6 Ba 0.606 0.932 0.795
7 Ba 0.394 0.068 0.205
8 Ba 0.258 0.258 0.794
9 Ba 0.068 0.394 0.205
10 Ba 0.742 0.742 0.206
11 Ba 0.932 0.606 0.795
12 S 0.000 0.000 0.000

## Properties
symmetry	No. 12
DFT total energy	-3.500	eV/atom



Entry 13:
A plane-wave DFT calculation with PBE-GGA was carried out for a relaxed BaSbAuI2 crystal.

a = 5.785 Å, b = 5.785 Å, c = 5.576 Å
α = 90.00°, β = 90.00°, γ = 90.00°
Site moments in Bohr magnetons follow the coordinates.
Fractional positions:
1 I 0.000 0.500 0.000  0.06
2 I 0.500 0.000 0.000  0.06
3 Au 0.000 0.000 0.000  0.06
4 Ba 0.500 0.500 0.500  0.02
5 Sb 0.000 0.000 0.500  0.29

## Properties
symmetry	No. 123
distance to the lowest polymorph of the same formula	0	meV per atom



Entry 14:
A plane-wave DFT calculation with PBE-GGA was carried out for a relaxed BaSbAuI2 crystal.

a = 6.563 Å, b = 6.563 Å, c = 7.864 Å
α = 90.00°, β = 90.00°, γ = 90.00°
Site moments in Bohr magnetons follow the coordinates.
Fractional positions:
1 I 0.000 0.500 0.000  0.02
2 I 0.500 0.000 0.000  0.02
3 Sb 0.000 0.000 0.500  0.96
4 Ba 0.000 0.000 0.000  0.03
5 Au 0.500 0.500 0.500  -0.33

## Properties
symmetry	No. 123
distance to the lowest polymorph of the same formula	618	meV per atom



Entry 15:
A plane-wave DFT calculation with PBE-GGA was carried out for a relaxed Ba6SbAu2I3 crystal.

a = 8.425 Å, b = 8.425 Å, c = 9.154 Å
α = 98.88°, β = 98.88°, γ = 120.05°
Fractional positions:
1 I 0.162 0.838 0.500
2 I 0.500 0.500 0.500
3 I 0.838 0.162 0.500
4 Ba 0.071 0.413 0.215
5 Ba 0.730 0.730 0.214
6 Ba 0.929 0.587 0.785
7 Ba 0.270 0.270 0.786
8 Ba 0.587 0.929 0.785
9 Ba 0.413 0.071 0.215
10 Au 0.667 0.333 0.000
11 Au 0.333 0.667 0.000
12 Sb 0.000 0.000 0.000

## Properties
symmetry	No. 12
DFT total energy	-3.367	eV/atom



Entry 16:
A plane-wave DFT calculation with PBE-GGA was carried out for a relaxed Ba6Sb2AuI3 crystal.

a = 8.645 Å, b = 8.645 Å, c = 8.954 Å
α = 99.33°, β = 99.33°, γ = 120.02°
Site moments in Bohr magnetons follow the coordinates.
Fractional positions:
1 Ba 0.255 0.255 0.780  0.07
2 Ba 0.600 0.928 0.783  0.07
3 Ba 0.745 0.745 0.220  0.07
4 Ba 0.400 0.072 0.217  0.07
5 Ba 0.928 0.600 0.783  0.07
6 Ba 0.072 0.400 0.217  0.07
7 I 0.828 0.172 0.500  0.01
8 I 0.172 0.828 0.500  0.01
9 I 0.500 0.500 0.500  0.00
10 Sb 0.334 0.666 0.000  0.00
11 Sb 0.666 0.334 0.000  0.00
12 Au 0.000 0.000 0.000  0.07

## Properties
symmetry	No. 12
DFT total energy	-3.553	eV/atom



Entry 17:
A plane-wave DFT calculation with PBE-GGA was carried out for a relaxed Ba8Sb3AuI4 crystal.

a = 10.042 Å, b = 10.248 Å, c = 10.043 Å
α = 119.34°, β = 119.99°, γ = 90.00°
Site moments in Bohr magnetons follow the coordinates.
Fractional positions:
1 Ba 0.763 0.283 0.525  0.07
2 Ba 0.261 0.282 0.521  0.01
3 Ba 0.763 0.284 0.020  0.07
4 Ba 0.739 0.718 0.479  0.01
5 Ba 0.237 0.717 0.475  0.07
6 Ba 0.237 0.716 0.980  0.07
7 Ba 0.743 0.716 0.980  0.07
8 Ba 0.257 0.284 0.020  0.07
9 Sb 0.500 0.500 0.500  0.00
10 Sb 0.000 0.500 0.500  0.00
11 Sb 0.500 0.500 0.000  0.00
12 I 0.500 0.000 0.000  0.00
13 I 0.500 0.000 0.500  0.01
14 I 0.000 0.000 0.000  0.01
15 I 0.000 0.000 0.500  0.01
16 Au 0.000 0.500 0.000  0.07

## Properties
symmetry	No. 166
DFT total energy	-3.613	eV/atom



Entry 18:
A plane-wave DFT calculation with PBE-GGA was carried out for a relaxed Ba4AuSeI2 crystal.

a = 4.728 Å, b = 8.877 Å, c = 8.504 Å
α = 72.47°, β = 90.00°, γ = 90.00°
Site moments in Bohr magnetons follow the coordinates.
Fractional positions:
1 I 0.000 0.000 0.000  0.01
2 I 0.500 0.000 0.500  0.01
3 Au 0.000 0.500 0.500  0.06
4 Ba 0.500 0.291 0.732  0.09
5 Ba 0.000 0.711 0.763  0.08
6 Ba 0.000 0.289 0.237  0.08
7 Ba 0.500 0.709 0.268  0.09
8 Se 0.500 0.500 0.000  0.01

## Properties
symmetry	No. 10
DFT total energy	-3.549	eV/atom



Entry 19:
A plane-wave DFT calculation with PBE-GGA was carried out for a relaxed Ba6Au2SeI3 crystal.

a = 8.294 Å, b = 8.294 Å, c = 9.104 Å
α = 98.73°, β = 98.73°, γ = 120.00°
Fractional positions:
1 Ba 0.931 0.596 0.791
2 Ba 0.404 0.069 0.209
3 Ba 0.069 0.404 0.209
4 Ba 0.265 0.265 0.791
5 Ba 0.596 0.931 0.791
6 Ba 0.735 0.735 0.209
7 Se 0.000 0.000 0.000
8 I 0.164 0.836 0.500
9 I 0.836 0.164 0.500
10 I 0.500 0.500 0.500
11 Au 0.333 0.667 0.000
12 Au 0.667 0.333 0.000

## Properties
symmetry	No. 12
DFT total energy	-3.442	eV/atom



Entry 20:
A plane-wave DFT calculation with PBE-GGA was carried out for a relaxed BaSiAu2I crystal.

a = 5.413 Å, b = 6.604 Å, c = 5.413 Å
α = 90.00°, β = 90.00°, γ = 90.00°
Site moments in Bohr magnetons follow the coordinates.
Fractional positions:
1 Ba 0.000 0.500 0.000  0.07
2 I 0.000 0.000 0.000  0.01
3 Au 0.000 0.000 0.500  0.01
4 Au 0.500 0.000 0.000  0.02
5 Si 0.500 0.500 0.500  0.42

## Properties
symmetry	No. 123
DFT total energy	-2.526	eV/atom